AgBAs3 PBE optimized geometry; excess energy over the best structure of this formula in the dataset = 987 meV/atom; energy of formation from the pure elements = 171 kJ/mol of atoms; total magnetization = 0.00 Bohr magnetons per cell; space-group type = Pm-3m
1.0
5.014 0.000 0.000
0.000 5.014 0.000
0.000 0.000 5.014
As B Ag
3 1 1
Direct
0.000 0.500 0.000
0.000 0.000 0.500
0.500 0.000 0.000
0.500 0.500 0.500
0.000 0.000 0.000